No. 1
First-principles (GGA-PBE) data for an optimized crystal structure of AlRe2P, as listed in the Alexandria database.

The value obtained for the total moment is 0.0 μB per formula unit. The density of states at the Fermi level comes out at 2.8 states/eV/f.u. The excess energy over the best structure of this formula in the dataset is 422 meV per atom. The theoretical density is 12.40 Mg/m³. The calculation puts the total energy at -8.279 eV per atom.

It has space group C2/m (No. 12), with a = 5.649 Å, b = 7.976 Å, c = 2.866 Å, α = 90.00°, β = 116.79° and γ = 90.00°. The inequivalent atoms are Al at (0.000, 0.000, 0.000), Re at (0.250, 0.250, 0.500) and P at (0.000, 0.500, 0.000).

No. 2
First-principles (GGA-PBE) data for an optimized crystal structure of AlReP4, as listed in the Alexandria database.

The value obtained for the total moment is 0.0 μB per formula unit. The density of states at the Fermi level comes out at 5.6 states/eV/f.u. The theoretical density is 6.59 Mg/m³. The calculation puts the total energy at -5.426 eV per atom.

It has space group F-43m (No. 216), with a = 6.979 Å, b = 6.979 Å, c = 6.979 Å, α = 90.00°, β = 90.00° and γ = 90.00°. The inequivalent atoms are Al at (0.000, 0.000, 0.000), Re at (0.250, 0.250, 0.250) and P at (0.126, 0.126, 0.626).

No. 3
First-principles (GGA-PBE) data for an optimized crystal structure of Al2Re2P, as listed in the Alexandria database.

The value obtained for the total moment is 0.0 μB per formula unit. The density of states at the Fermi level comes out at 2.7 states/eV/f.u. The theoretical density is 9.87 Mg/m³. The calculation puts the total energy at -7.603 eV per atom.

It has space group P4/mbm (No. 127), with a = 6.190 Å, b = 6.190 Å, c = 4.015 Å, α = 90.00°, β = 90.00° and γ = 90.00°. The inequivalent atoms are Al at (0.154, 0.346, 0.000), Re at (0.156, 0.656, 0.500) and P at (0.000, 0.000, 0.500).

No. 4
First-principles (GGA-PBE) data for an optimized crystal structure of AlReP2, as listed in the Alexandria database.

The value obtained for the total moment is 0.0 μB per formula unit. The density of states at the Fermi level comes out at 0.3 states/eV/f.u. The theoretical density is 6.92 Mg/m³. The calculation puts the total energy at -6.926 eV per atom.

It has space group Cm (No. 8), with a = 8.154 Å, b = 3.009 Å, c = 5.893 Å, α = 90.00°, β = 114.08° and γ = 90.00°. The inequivalent atoms are Al at (0.000, 0.000, 0.000), Re at (0.341, 0.000, 0.570), P at (0.138, 0.500, 0.604) and P at (0.292, 0.500, 0.220).

No. 5
First-principles (GGA-PBE) data for an optimized crystal structure of Al2ReP, as listed in the Alexandria database.

The value obtained for the total moment is 0.0 μB per formula unit. The density of states at the Fermi level comes out at 1.8 states/eV/f.u. The theoretical density is 8.06 Mg/m³. The calculation puts the total energy at -6.514 eV per atom.

It has space group P4/mmm (No. 123), with a = 3.272 Å, b = 3.272 Å, c = 5.219 Å, α = 90.00°, β = 90.00° and γ = 90.00°. The inequivalent atoms are Al at (0.000, 0.000, 0.250), Re at (0.500, 0.500, 0.000) and P at (0.500, 0.500, 0.500).

No. 6
First-principles (GGA-PBE) data for an optimized crystal structure of Al2ReP, as listed in the Alexandria database.

The value obtained for the total moment is 0.0 μB per formula unit. The density of states at the Fermi level comes out at 2.4 states/eV/f.u. The theoretical density is 7.56 Mg/m³. The calculation puts the total energy at -6.216 eV per atom.

It has space group P4/mmm (No. 123), with a = 2.806 Å, b = 2.806 Å, c = 7.566 Å, α = 90.00°, β = 90.00° and γ = 90.00°. The inequivalent atoms are Al at (0.000, 0.000, 0.243), Re at (0.500, 0.500, 0.000) and P at (0.500, 0.500, 0.500).

No. 7
First-principles (GGA-PBE) data for an optimized crystal structure of AlReP2, as listed in the Alexandria database.

The value obtained for the total moment is 0.0 μB per formula unit. The density of states at the Fermi level comes out at 1.7 states/eV/f.u. The theoretical density is 6.70 Mg/m³. The calculation puts the total energy at -6.472 eV per atom.

It has space group Cmm2 (No. 35), with a = 3.181 Å, b = 4.687 Å, c = 9.152 Å, α = 90.00°, β = 90.00° and γ = 90.00°. The inequivalent atoms are Al at (0.000, 0.000, 0.000), Re at (0.000, 0.500, 0.233), P at (0.000, 0.000, 0.421) and P at (0.000, 0.500, 0.794).

No. 8
First-principles (GGA-PBE) data for an optimized crystal structure of AlReP2, as listed in the Alexandria database.

The value obtained for the total moment is 0.0 μB per formula unit. The density of states at the Fermi level comes out at 1.9 states/eV/f.u. The theoretical density is 8.02 Mg/m³. The calculation puts the total energy at -6.382 eV per atom.

It has space group Pmmm (No. 47), with a = 3.137 Å, b = 3.931 Å, c = 4.617 Å, α = 90.00°, β = 90.00° and γ = 90.00°. The inequivalent atoms are Al at (0.000, 0.000, 0.000), Re at (0.500, 0.000, 0.500), P at (0.000, 0.500, 0.500) and P at (0.500, 0.500, 0.000).

No. 9
First-principles (GGA-PBE) data for an optimized crystal structure of AlRe2P, as listed in the Alexandria database.

The value obtained for the total moment is 0.0 μB per formula unit. The density of states at the Fermi level comes out at 3.4 states/eV/f.u. The excess energy over the best structure of this formula in the dataset is 462 meV per atom. The theoretical density is 12.10 Mg/m³. The calculation puts the total energy at -8.239 eV per atom.

It has space group Cmm2 (No. 35), with a = 3.009 Å, b = 4.671 Å, c = 8.408 Å, α = 90.00°, β = 90.00° and γ = 90.00°. The inequivalent atoms are Al at (0.000, 0.000, 0.000), Re at (0.000, 0.000, 0.483), Re at (0.000, 0.500, 0.745) and P at (0.000, 0.500, 0.254).

No. 10
First-principles (GGA-PBE) data for an optimized crystal structure of AlReP2, as listed in the Alexandria database.

The value obtained for the total moment is 0.0 μB per formula unit. The density of states at the Fermi level comes out at 1.6 states/eV/f.u. The theoretical density is 8.00 Mg/m³. The calculation puts the total energy at -6.526 eV per atom.

It has space group Immm (No. 71), with a = 3.327 Å, b = 4.728 Å, c = 7.263 Å, α = 90.00°, β = 90.00° and γ = 90.00°. The inequivalent atoms are Al at (0.000, 0.000, 0.000), Re at (0.000, 0.000, 0.500) and P at (0.000, 0.500, 0.264).

No. 11
First-principles (GGA-PBE) data for an optimized crystal structure of AlReP2, as listed in the Alexandria database.

The value obtained for the total moment is 0.0 μB per formula unit. The density of states at the Fermi level comes out at 1.1 states/eV/f.u. The theoretical density is 7.94 Mg/m³. The calculation puts the total energy at -6.790 eV per atom.

It has space group P4/mmm (No. 123), with a = 2.953 Å, b = 2.953 Å, c = 6.594 Å, α = 90.00°, β = 90.00° and γ = 90.00°. The inequivalent atoms are Al at (0.000, 0.000, 0.000), Re at (0.000, 0.000, 0.500) and P at (0.500, 0.500, 0.278).

No. 12
First-principles (GGA-PBE) data for an optimized crystal structure of Al2ReP, as listed in the Alexandria database.

The value obtained for the total moment is 0.0 μB per formula unit. The density of states at the Fermi level comes out at 1.8 states/eV/f.u. The theoretical density is 7.64 Mg/m³. The calculation puts the total energy at -6.124 eV per atom.

It has space group P2/m (No. 10), with a = 2.960 Å, b = 4.534 Å, c = 4.394 Å, α = 90.00°, β = 91.88° and γ = 90.00°. The inequivalent atoms are Al at (0.225, 0.000, 0.251), Re at (0.500, 0.500, 0.500) and P at (0.000, 0.500, 0.000).

No. 13
First-principles (GGA-PBE) data for an optimized crystal structure of Al2ReP, as listed in the Alexandria database.

The value obtained for the total moment is 0.0 μB per formula unit. The density of states at the Fermi level comes out at 2.9 states/eV/f.u. The theoretical density is 7.55 Mg/m³. The calculation puts the total energy at -6.321 eV per atom.

It has space group R-3m (No. 166, hexagonal axes), with a = 2.9810 Å, b = 2.9810 Å, c = 23.2441 Å, α = 90.00°, β = 90.00° and γ = 120.00°. The inequivalent atoms are Al at (0.0000, 0.0000, 0.2484), Re at (0.0000, 0.0000, 0.0000) and P at (0.0000, 0.0000, 0.5000).

No. 14
First-principles (GGA-PBE) data for an optimized crystal structure of AlRe2P, as listed in the Alexandria database.

The value obtained for the total moment is 0.0 μB per formula unit. The density of states at the Fermi level comes out at 2.4 states/eV/f.u. The excess energy over the best structure of this formula in the dataset is 384 meV per atom. The theoretical density is 12.68 Mg/m³. The calculation puts the total energy at -8.317 eV per atom.

It has space group I-4m2 (No. 119), with a = 3.819 Å, b = 3.819 Å, c = 7.733 Å, α = 90.00°, β = 90.00° and γ = 90.00°. The inequivalent atoms are Al at (0.000, 0.000, 0.000), Re at (0.000, 0.000, 0.500), Re at (0.000, 0.500, 0.250) and P at (0.000, 0.500, 0.750).

No. 15
First-principles (GGA-PBE) data for an optimized crystal structure of AlReP2, as listed in the Alexandria database.

The value obtained for the total moment is 0.0 μB per formula unit. The density of states at the Fermi level comes out at 1.6 states/eV/f.u. The theoretical density is 7.87 Mg/m³. The calculation puts the total energy at -6.698 eV per atom.

It has space group R3m (No. 160, hexagonal axes), with a = 3.0752 Å, b = 3.0752 Å, c = 21.2749 Å, α = 90.00°, β = 90.00° and γ = 120.00°. The inequivalent atoms are Al at (0.0000, 0.0000, 0.0000), Re at (0.0000, 0.0000, 0.2388), P at (0.0000, 0.0000, 0.4958) and P at (0.0000, 0.0000, 0.7531).